# Hf3TaSn

A relaxed Hf3TaSn crystal (PBE, Alexandria).

Geometry as POSCAR:
```
Hf3TaSn
1.0
5.094 0.000 0.000
0.000 5.094 0.000
0.000 0.000 5.094
Hf Ta Sn
3 1 1
Cartesian
0.000 0.000 2.547 Hf
0.000 2.547 0.000 Hf
2.547 0.000 0.000 Hf
0.000 0.000 0.000 Ta
2.547 2.547 2.547 Sn
```

Calculated values
energy of formation from the pure elements	91.9	kJ per mole of atoms
DFT total energy	-8.19	eV per atom
distance to the lowest polymorph of the same formula	953.1	meV per atom
DOS at the Fermi energy	10.1	states/eV/cell

=====

# CdGa2Pb

A relaxed CdGa2Pb crystal (PBE, Alexandria).

Geometry as POSCAR:
```
CdGa2Pb
1.0
2.291 1.323 5.388
-2.291 1.323 5.388
0.000 -2.646 5.388
Cd Ga Pb
1 2 1
Cartesian
0.000 0.000 0.000 Cd
0.000 0.000 4.309 Ga
0.000 0.000 11.855 Ga
0.000 0.000 8.082 Pb
```

Calculated values
energy of formation from the pure elements	11.7	kJ per mole of atoms
DFT total energy	-2.55	eV per atom
distance to the lowest polymorph of the same formula	45.7	meV per atom
DOS at the Fermi energy	2.1	states/eV/cell